No. 1
# PBE-GGA Mg2UZn3N6, relaxed
data_Mg2UZn3N6
_space_group_name_H-M_alt 'C 1 2/m 1'
_space_group_IT_number 12
_cell_length_a 5.548
_cell_length_b 9.502
_cell_length_c 5.372
_cell_angle_alpha 90.00
_cell_angle_beta 111.51
_cell_angle_gamma 90.00
loop_
_space_group_symop_operation_xyz
'x,y,z'
'-x,-y,-z'
'-x,y,-z'
'x,-y,z'
'x+1/2,y+1/2,z'
'-x+1/2,-y+1/2,-z'
'-x+1/2,y+1/2,-z'
'x+1/2,-y+1/2,z'
loop_
_atom_site_label
_atom_site_fract_x
_atom_site_fract_y
_atom_site_fract_z
Mg1 0.000 0.165 0.000
U1 0.000 0.500 0.000
Zn1 0.000 0.000 0.500
Zn2 0.000 0.328 0.500
N1 0.234 0.500 0.764
N2 0.247 0.164 0.752
# VASP energy: -144.7 eV for the cell shown
# ΔE_f (raw): -343.6 meV per atom
# DOS at the Fermi energy: 19.977 states/eV per cell

No. 2
# PBE-GGA Mg2ZrUN4, relaxed
data_Mg2ZrUN4
_space_group_name_H-M_alt 'P 1 2/m 1'
_space_group_IT_number 10
_cell_length_a 5.560
_cell_length_b 3.301
_cell_length_c 5.726
_cell_angle_alpha 90.00
_cell_angle_beta 109.63
_cell_angle_gamma 90.00
loop_
_space_group_symop_operation_xyz
'x,y,z'
'-x,-y,-z'
'-x,y,-z'
'x,-y,z'
loop_
_atom_site_label
_atom_site_fract_x
_atom_site_fract_y
_atom_site_fract_z
Mg1 0.000 0.000 0.000
Mg2 0.000 0.500 0.500
Zr1 0.500 0.000 0.500
U1 0.500 0.500 0.000
N1 0.253 0.000 0.748
N2 0.260 0.500 0.249
# VASP energy: -65.9 eV for the cell shown
# ΔE_f (raw): -1194.4 meV per atom
# DOS at the Fermi energy: 4.251 states/eV per cell

No. 3
# PBE-GGA MgZr4UN8, relaxed
data_MgZr4UN8
_space_group_name_H-M_alt 'R 3 m'
_space_group_IT_number 160
_space_group_name_Hall 'R 3 -2"'
_cell_length_a 6.5965
_cell_length_b 6.5965
_cell_length_c 15.3827
_cell_angle_alpha 90.00
_cell_angle_beta 90.00
_cell_angle_gamma 120.00
loop_
_atom_site_label
_atom_site_fract_x
_atom_site_fract_y
_atom_site_fract_z
Mg1 0.0000 0.0000 0.0000
Zr1 0.0000 0.0000 0.6260
Zr2 0.9998 0.4999 0.5053
U1 0.0000 0.0000 0.3990
N1 0.0000 0.0000 0.2465
N2 0.0000 0.0000 0.7601
N3 0.0227 0.5113 0.7479
N4 0.1684 0.3369 0.5715
# VASP energy: -393.0 eV for the cell shown
# ΔE_f (raw): -1237.5 meV per atom

No. 4
# PBE-GGA MgV2N2, relaxed
data_MgV2N2
_space_group_name_H-M_alt 'P 4/m b m'
_space_group_IT_number 127
_space_group_name_Hall '-P 4 2ab'
_cell_length_a 6.204
_cell_length_b 6.204
_cell_length_c 2.692
_cell_angle_alpha 90.00
_cell_angle_beta 90.00
_cell_angle_gamma 90.00
loop_
_atom_site_label
_atom_site_fract_x
_atom_site_fract_y
_atom_site_fract_z
Mg1 0.000 0.000 0.000
V1 0.133 0.367 0.000
N1 0.148 0.648 0.500
# VASP energy: -69.9 eV for the cell shown
# Distance to the lowest polymorph of the same formula: 650 meV/atom
# ΔE_f (raw): 304.0 meV per atom
# DOS at the Fermi energy: 6.059 states/eV per cell

No. 5
# PBE-GGA Mg3V2N4, relaxed
data_Mg3V2N4
_space_group_name_H-M_alt 'C 1 2/c 1'
_space_group_IT_number 15
_cell_length_a 10.231
_cell_length_b 7.257
_cell_length_c 5.555
_cell_angle_alpha 90.00
_cell_angle_beta 91.36
_cell_angle_gamma 90.00
loop_
_space_group_symop_operation_xyz
'x,y,z'
'-x,-y,-z'
'-x,y,-z+1/2'
'x,-y,z+1/2'
'x+1/2,y+1/2,z'
'-x+1/2,-y+1/2,-z'
'-x+1/2,y+1/2,-z+1/2'
'x+1/2,-y+1/2,z+1/2'
loop_
_atom_site_label
_atom_site_fract_x
_atom_site_fract_y
_atom_site_fract_z
Mg1 0.000 0.098 0.250
Mg2 0.112 0.380 0.469
V1 0.193 0.128 0.898
N1 0.111 0.335 0.077
N2 0.142 0.092 0.567
# VASP energy: -248.9 eV for the cell shown
# ΔE_f (raw): -655.2 meV per atom
# DOS at the Fermi energy: 17.478 states/eV per cell

No. 6
# PBE-GGA Mg3VN4, relaxed
data_Mg3VN4
_space_group_name_H-M_alt 'P m n 21'
_space_group_IT_number 31
_cell_length_a 6.790
_cell_length_b 5.881
_cell_length_c 5.060
_cell_angle_alpha 90.00
_cell_angle_beta 90.00
_cell_angle_gamma 90.00
loop_
_space_group_symop_operation_xyz
'x,y,z'
'-x+1/2,-y,z+1/2'
'-x,y,z'
'x+1/2,-y,z+1/2'
loop_
_atom_site_label
_atom_site_fract_x
_atom_site_fract_y
_atom_site_fract_z
Mg1 0.000 0.157 0.000
Mg2 0.246 0.330 0.499
V1 0.000 0.827 0.482
N1 0.000 0.128 0.577
N2 0.000 0.824 0.131
N3 0.228 0.679 0.577
# VASP energy: -106.1 eV for the cell shown
# ΔE_f (raw): -730.2 meV per atom
# DOS at the Fermi energy: 6.315 states/eV per cell

No. 7
# PBE-GGA MgV2N2, relaxed
data_MgV2N2
_space_group_name_H-M_alt 'I 4/m m m'
_space_group_IT_number 139
_space_group_name_Hall '-I 4 2'
_cell_length_a 3.695
_cell_length_b 3.695
_cell_length_c 8.281
_cell_angle_alpha 90.00
_cell_angle_beta 90.00
_cell_angle_gamma 90.00
loop_
_atom_site_label
_atom_site_fract_x
_atom_site_fract_y
_atom_site_fract_z
Mg1 0.000 0.000 0.000
V1 0.000 0.000 0.345
N1 0.000 0.500 0.250
# VASP energy: -76.4 eV for the cell shown
# Distance to the lowest polymorph of the same formula: 0 meV/atom
# ΔE_f (raw): -346.4 meV per atom
# DOS at the Fermi energy: 7.812 states/eV per cell

No. 8
# PBE-GGA Mg2VN2, relaxed
data_Mg2VN2
_space_group_name_H-M_alt 'C 1 2/m 1'
_space_group_IT_number 12
_cell_length_a 9.818
_cell_length_b 4.485
_cell_length_c 6.013
_cell_angle_alpha 90.00
_cell_angle_beta 113.60
_cell_angle_gamma 90.00
loop_
_space_group_symop_operation_xyz
'x,y,z'
'-x,-y,-z'
'-x,y,-z'
'x,-y,z'
'x+1/2,y+1/2,z'
'-x+1/2,-y+1/2,-z'
'-x+1/2,y+1/2,-z'
'x+1/2,-y+1/2,z'
loop_
_atom_site_label
_atom_site_fract_x
_atom_site_fract_y
_atom_site_fract_z
Mg1 0.013 0.000 0.252
Mg2 0.172 0.500 0.106
V1 0.150 0.500 0.619
N1 0.002 0.500 0.271
N2 0.178 0.000 0.109
# VASP energy: -129.6 eV for the cell shown
# ΔE_f (raw): -689.2 meV per atom
# DOS at the Fermi energy: 6.354 states/eV per cell

No. 9
# PBE-GGA MgVN, relaxed
data_MgVN
_space_group_name_H-M_alt 'P 4/n m m'
_space_group_IT_number 129
_cell_length_a 3.226
_cell_length_b 3.226
_cell_length_c 7.561
_cell_angle_alpha 90.00
_cell_angle_beta 90.00
_cell_angle_gamma 90.00
loop_
_space_group_symop_operation_xyz
'x,y,z'
'-x,-y,-z'
'-y+1/2,x,z'
'y+1/2,-x,-z'
'-x+1/2,-y+1/2,z'
'x+1/2,y+1/2,-z'
'y,-x+1/2,z'
'-y,x+1/2,-z'
'x+1/2,-y,-z'
'-x+1/2,y,z'
'-y,-x,-z'
'y,x,z'
'-x,y+1/2,-z'
'x,-y+1/2,z'
'y+1/2,x+1/2,-z'
'-y+1/2,-x+1/2,z'
loop_
_atom_site_label
_atom_site_fract_x
_atom_site_fract_y
_atom_site_fract_z
Mg1 0.250 0.250 0.176
V1 0.250 0.750 0.500
N1 0.250 0.250 0.685
# VASP energy: -39.8 eV for the cell shown
# Distance to the lowest polymorph of the same formula: 239 meV/atom
# ΔE_f (raw): -281.8 meV per atom
# DOS at the Fermi energy: 1.644 states/eV per cell

No. 10
# PBE-GGA MgVN, relaxed
data_MgVN
_space_group_name_H-M_alt 'P 1 21/c 1'
_space_group_IT_number 14
_cell_length_a 4.857
_cell_length_b 5.100
_cell_length_c 7.183
_cell_angle_alpha 90.00
_cell_angle_beta 125.24
_cell_angle_gamma 90.00
loop_
_space_group_symop_operation_xyz
'x,y,z'
'-x,-y,-z'
'-x,y+1/2,-z+1/2'
'x,-y+1/2,z+1/2'
loop_
_atom_site_label
_atom_site_fract_x
_atom_site_fract_y
_atom_site_fract_z
Mg1 0.133 0.088 0.375
V1 0.384 0.587 0.623
N1 0.379 0.736 0.370
# VASP energy: -82.4 eV for the cell shown
# Distance to the lowest polymorph of the same formula: 0 meV/atom
# ΔE_f (raw): -521.0 meV per atom
# DOS at the Fermi energy: 7.886 states/eV per cell

No. 11
# PBE-GGA YMgVN2, relaxed
data_YMgVN2
_space_group_name_H-M_alt 'P 4/m m m'
_space_group_IT_number 123
_space_group_name_Hall '-P 4 2'
_cell_length_a 4.312
_cell_length_b 4.312
_cell_length_c 5.508
_cell_angle_alpha 90.00
_cell_angle_beta 90.00
_cell_angle_gamma 90.00
loop_
_atom_site_label
_atom_site_fract_x
_atom_site_fract_y
_atom_site_fract_z
Y1 0.000 0.000 0.000
Mg1 0.000 0.000 0.500
V1 0.500 0.500 0.500
N1 0.000 0.500 0.000
# VASP energy: -25.8 eV for the cell shown
# ΔE_f (raw): 1605.8 meV per atom
# DOS at the Fermi energy: 9.977 states/eV per cell

No. 12
# PBE-GGA Mg2VZnN4, relaxed
data_Mg2VZnN4
_space_group_name_H-M_alt 'P m n 21'
_space_group_IT_number 31
_cell_length_a 6.686
_cell_length_b 5.791
_cell_length_c 5.131
_cell_angle_alpha 90.00
_cell_angle_beta 90.00
_cell_angle_gamma 90.00
loop_
_space_group_symop_operation_xyz
'x,y,z'
'-x+1/2,-y,z+1/2'
'-x,y,z'
'x+1/2,-y,z+1/2'
loop_
_atom_site_label
_atom_site_fract_x
_atom_site_fract_y
_atom_site_fract_z
Mg1 0.248 0.175 0.000
V1 0.000 0.669 0.010
Zn1 0.000 0.333 0.500
N1 0.000 0.370 0.899
N2 0.000 0.661 0.358
N3 0.231 0.821 0.916
# VASP energy: -102.4 eV for the cell shown
# ΔE_f (raw): -538.1 meV per atom
# DOS at the Fermi energy: 7.883 states/eV per cell

Q: ΔE_f (raw) of number 1 (Mg2UZn3N6)?
A: -343.6 meV per atom

Q: Among the records above, which one has the lowest ΔE_f (raw)?
A: MgZr4UN8

Q: Which of these has the highest ΔE_f (raw)?
A: YMgVN2

Q: What is the formula in the fifth record?
A: Mg3V2N4